# 1
This record from the Alexandria database describes a geometry-optimized BMo2Ru structure. The functional is PBE-GGA.

Properties
* crystal system: monoclinic
* total magnetization: 0.00 μB/cell
* space group: No. 11
* calculated formation energy: -0.14 eV per atom

Structure (CIF):
```
data_BMo2Ru
_chemical_formula_sum 'B2 Mo4 Ru2'
_space_group_name_H-M_alt 'P 1'
_space_group_IT_number 1
_cell_length_a 2.976
_cell_length_b 5.439
_cell_length_c 6.527
_cell_angle_alpha 99.35
_cell_angle_beta 90.00
_cell_angle_gamma 90.00
loop_
_space_group_symop_operation_xyz
'x,y,z'
loop_
_atom_site_label
_atom_site_fract_x
_atom_site_fract_y
_atom_site_fract_z
Mo1 0.250 0.386 0.127
B1 0.750 0.678 0.281
Ru1 0.750 0.081 0.839
Mo2 0.750 0.614 0.873
Mo3 0.250 0.743 0.542
B2 0.250 0.322 0.719
Ru2 0.250 0.919 0.161
Mo4 0.750 0.257 0.458
```

# 2
This record from the Alexandria database describes a geometry-optimized B2MoRu structure. The functional is PBE-GGA.

Properties
* crystal system: cubic
* total magnetization: 0.00 μB/cell
* E above lowest polymorph: 530.8 meV per atom
* space group: No. 225
* calculated formation energy: 0.23 eV per atom

Structure (CIF):
```
data_B2MoRu
_chemical_formula_sum 'B2 Mo1 Ru1'
_space_group_name_H-M_alt 'P 1'
_space_group_IT_number 1
_cell_length_a 3.887
_cell_length_b 3.887
_cell_length_c 3.887
_cell_angle_alpha 60.00
_cell_angle_beta 60.00
_cell_angle_gamma 60.00
loop_
_space_group_symop_operation_xyz
'x,y,z'
loop_
_atom_site_label
_atom_site_fract_x
_atom_site_fract_y
_atom_site_fract_z
B1 0.750 0.750 0.750
B2 0.250 0.250 0.250
Mo1 0.000 0.000 0.000
Ru1 0.500 0.500 0.500
```